Record 1
TbCoNiP2: optimized geometry, PBE-GGA. Values from VASP.

```
&SYSTEM
  ibrav = 0, nat = 5, ntyp = 4
/
ATOMIC_SPECIES
Co 58.93 Co.upf
P 30.97 P.upf
Ni 58.69 Ni.upf
Tb 158.93 Tb.upf
CELL_PARAMETERS angstrom
-1.1804 -1.4180 -3.3958
3.6793 -0.5214 -1.0612
-1.3332 -3.3642 4.0674
ATOMIC_POSITIONS crystal
Co 0.7500 0.2500 0.5000
P 0.6255 0.6255 0.2509
P 0.3745 0.3745 0.7491
Ni 0.2500 0.7500 0.5000
Tb 0.0000 0.0000 0.0000
```

## Properties
**Energy**: -6.664 eV/atom
**E_form**: -0.996 eV/atom
**Size of the total moment**: 0.08 μB per atom
**SG**: I-4m2
**Volume**: 70.33 Å³/cell

Record 2
Tb2Co3NiP4: optimized geometry, PBE-GGA. Values from VASP.

```
&SYSTEM
  ibrav = 0, nat = 10, ntyp = 4
/
ATOMIC_SPECIES
Ni 58.69 Ni.upf
Tb 158.93 Tb.upf
P 30.97 P.upf
Co 58.93 Co.upf
CELL_PARAMETERS angstrom
3.9363 0.0000 0.0000
0.0000 3.9363 0.0000
0.0000 0.0000 9.0972
ATOMIC_POSITIONS crystal
Ni 0.5000 0.5000 0.5000
Tb 0.0000 0.5000 0.7557
Tb 0.5000 0.0000 0.2443
P 0.0000 0.0000 0.0000
P 0.0000 0.5000 0.3617
P 0.5000 0.5000 0.0000
P 0.5000 0.0000 0.6383
Co 0.5000 0.0000 0.8875
Co 0.0000 0.0000 0.5000
Co 0.0000 0.5000 0.1125
```

## Properties
**Energy**: -6.811 eV/atom
**E_form**: -1.011 eV/atom
**Size of the total moment**: 0.09 μB per atom
**SG**: P-4m2
**Volume**: 140.95 Å³/cell

> Among the records above, which one has the highest energy?

TbCoNiP2